(1)
Computed, not measured: a geometry-optimized Pr4HoTm structure at the PBE level of DFT.

Cell lengths 3.504, 8.326, 8.326 Å; angles 89.98, 90.00, 90.00 degrees
Fractional positions:
Pr 0.500 0.260 0.740
Pr 0.000 0.761 0.761
Pr 0.000 0.239 0.239
Pr 0.500 0.740 0.260
Ho 0.000 0.500 0.500
Tm 0.500 0.000 0.000

Results
E above lowest polymorph in eV per formula unit: 3.48
Space group: Cmmm
ρ in Mg/m³: 6.1

=====

(2)
Computed, not measured: a geometry-optimized Pr3Ho8Tm structure at the PBE level of DFT.

Cell lengths 8.394, 8.394, 8.394 Å; angles 95.20, 117.05, 117.05 degrees
Fractional positions:
Pr 0.500 0.750 0.250
Pr 0.500 0.250 0.750
Pr 0.000 0.500 0.500
Ho 0.484 0.228 0.228
Ho 0.516 0.743 0.743
Ho 0.000 0.772 0.257
Ho 0.000 0.257 0.772
Ho 0.251 0.369 0.369
Ho 0.749 0.118 0.118
Ho 0.000 0.631 0.882
Ho 0.000 0.882 0.631
Tm 0.000 0.000 0.000

Results
E in eV per cell: -47.989
Space group: I-42m
ρ in Mg/m³: 7.3

=====

(3)
Computed, not measured: a geometry-optimized Pr2Ho9Tm3 structure at the PBE level of DFT.

Cell lengths 6.336, 12.470, 14.653 Å; angles 36.46, 42.22, 45.73 degrees
Fractional positions:
Pr 0.415 0.289 0.720
Pr 0.588 0.674 0.282
Ho 0.005 0.483 0.505
Ho 0.616 0.021 0.645
Ho 0.451 0.941 0.346
Ho 0.002 0.844 0.860
Ho 0.061 0.104 0.147
Ho 0.814 0.763 0.570
Ho 0.258 0.218 0.411
Ho 0.572 0.423 0.978
Ho 0.354 0.692 0.072
Tm 0.818 0.119 0.927
Tm 0.867 0.362 0.233
Tm 0.178 0.566 0.804

Results
E in eV per cell: -63.020
Space group: P1
ρ in Mg/m³: 8.4

=====

(4)
Computed, not measured: a geometry-optimized Pr7Ho4Tm structure at the PBE level of DFT.

Cell lengths 6.039, 9.830, 8.667 Å; angles 61.17, 69.61, 72.11 degrees
Fractional positions:
Pr 0.791 0.882 0.535
Pr 0.209 0.118 0.465
Pr 0.085 0.555 0.276
Pr 0.915 0.445 0.724
Pr 0.211 0.766 0.813
Pr 0.500 0.000 0.000
Pr 0.789 0.234 0.187
Ho 0.570 0.303 0.556
Ho 0.430 0.697 0.444
Ho 0.671 0.614 0.043
Ho 0.329 0.386 0.957
Tm 0.000 0.000 0.000

Results
E above lowest polymorph in eV per formula unit: 2.35
Space group: C2/m
ρ in Mg/m³: 7.2

=====

(5)
Computed, not measured: a geometry-optimized Pr5Ho4Tm structure at the PBE level of DFT.

Cell lengths 3.619, 10.242, 9.546 Å; angles 105.77, 100.92, 89.97 degrees
Fractional positions:
Pr 0.700 0.601 0.400
Pr 0.100 0.807 0.199
Pr 0.900 0.193 0.801
Pr 0.500 0.500 0.000
Pr 0.300 0.399 0.600
Ho 0.699 0.100 0.399
Ho 0.100 0.294 0.201
Ho 0.301 0.900 0.601
Ho 0.900 0.706 0.799
Tm 0.500 0.000 0.000

Results
E above lowest polymorph in eV per formula unit: 0.03
Space group: C2/m
ρ in Mg/m³: 7.6

=====

(6)
Computed, not measured: a geometry-optimized Pr2Ho4Tm5 structure at the PBE level of DFT.

Cell lengths 3.469, 11.440, 10.921 Å; angles 121.58, 99.14, 90.00 degrees
Fractional positions:
Pr 0.203 0.203 0.406
Pr 0.797 0.797 0.594
Ho 0.000 0.275 0.000
Ho 0.590 0.590 0.181
Ho 0.000 0.725 0.000
Ho 0.410 0.410 0.819
Tm 0.821 0.112 0.643
Tm 0.821 0.531 0.643
Tm 0.179 0.469 0.357
Tm 0.179 0.888 0.357
Tm 0.500 0.000 0.000

Results
E above lowest polymorph in eV per formula unit: 2.06
Space group: Immm
ρ in Mg/m³: 8.2